No. 1
The following is a GGA-PBE calculation of a relaxed Pr2Tm3Tl crystal, from the Alexandria database.

abc: 5.761 10.983 5.766
angles: 90.00 90.00 90.00
Space group Cmmm (No. 65)
Unique sites:
Pr: 0.000 0.159 0.000
Tm: 0.000 0.000 0.500
Tm: 0.000 0.341 0.500
Tl: 0.000 0.500 0.000

As for the energy above the most stable polymorph in this dataset: 67 meV/atom. The calculation puts the energy relative to the elements at -0.6 kcal/mol of atoms. As for the total DFT energy (no corrections): -25.5 eV/f.u.


No. 2
The following is a GGA-PBE calculation of a relaxed PrTmTl crystal, from the Alexandria database.

abc: 4.740 4.740 8.360
angles: 90.00 90.00 90.00
Space group P4/nmm (No. 129, origin choice 2)
Unique sites:
Pr: 0.250 0.250 0.148
Tm: 0.250 0.750 0.500
Tl: 0.250 0.250 0.758

As for the energy above the most stable polymorph in this dataset: 2 meV/atom. The calculation puts the energy relative to the elements at -5.7 kcal/mol of atoms. As for the total DFT energy (no corrections): -12.4 eV/f.u.